No. 1
An optimized crystal structure of Pa7SbTe12, computed with PBE.

Results
Magnetization   5.17 μB/cell
E   -6.1294 eV per atom

a = 9.6731 Å, b = 9.6731 Å, c = 9.6731 Å
α = 107.42°, β = 107.42°, γ = 107.42°
Closest atoms and distances in Å follow each position.
Sites, in units of the cell vectors:
Pa  0.0000  0.0000  0.0000  6 Te 3.05
Pa  0.1563  0.4695  0.3889  5 Te 3.02-3.08, 1 Sb 3.06
Pa  0.3889  0.1563  0.4695  5 Te 3.02-3.08, 1 Sb 3.06
Pa  0.4695  0.3889  0.1563  5 Te 3.02-3.08, 1 Sb 3.06
Pa  0.5305  0.6111  0.8437  5 Te 3.02-3.08, 1 Sb 3.06
Pa  0.6111  0.8437  0.5305  5 Te 3.02-3.08, 1 Sb 3.06
Pa  0.8437  0.5305  0.6111  5 Te 3.02-3.08, 1 Sb 3.06
Sb  0.5000  0.5000  0.5000  6 Pa 3.06
Te  0.0414  0.1194  0.3462  3 Pa 3.05-3.08
Te  0.1194  0.3462  0.0414  3 Pa 3.05-3.08
Te  0.1881  0.5771  0.7330  3 Pa 3.02-3.06
Te  0.2670  0.8119  0.4229  3 Pa 3.02-3.06
Te  0.3462  0.0414  0.1194  3 Pa 3.05-3.08
Te  0.4229  0.2670  0.8119  3 Pa 3.02-3.06
Te  0.5771  0.7330  0.1881  3 Pa 3.02-3.06
Te  0.6538  0.9586  0.8806  3 Pa 3.05-3.08
Te  0.7330  0.1881  0.5771  3 Pa 3.02-3.06
Te  0.8119  0.4229  0.2670  3 Pa 3.02-3.06
Te  0.8806  0.6538  0.9586  3 Pa 3.05-3.08
Te  0.9586  0.8806  0.6538  3 Pa 3.05-3.08

***

No. 2
An optimized crystal structure of Pa3SbTe3, computed with PBE.

Results
Magnetization   6.97 μB/cell
E   -6.4159 eV per atom

a = 7.5357 Å, b = 7.5357 Å, c = 7.9216 Å
α = 98.45°, β = 98.45°, γ = 98.00°
Closest atoms and distances in Å follow each position.
Sites, in units of the cell vectors:
Pa  0.0645  0.0645  0.2105  2 Sb 3.00-3.25, 5 Te 3.08-3.22, 1 Pa 3.29
Pa  0.1825  0.4713  0.6335  1 Sb 3.02, 5 Te 3.10-3.28, 2 Pa 3.28-3.33
Pa  0.4713  0.1825  0.6335  1 Sb 3.02, 5 Te 3.10-3.28, 2 Pa 3.28-3.33
Pa  0.5287  0.8175  0.3665  1 Sb 3.02, 5 Te 3.10-3.28, 2 Pa 3.28-3.33
Pa  0.8175  0.5287  0.3665  1 Sb 3.02, 5 Te 3.10-3.28, 2 Pa 3.28-3.33
Pa  0.9355  0.9355  0.7895  2 Sb 3.00-3.25, 5 Te 3.08-3.22, 1 Pa 3.29
Sb  0.2452  0.2452  0.9143  4 Pa 3.00-3.25, 1 Te 3.18
Sb  0.7548  0.7548  0.0857  4 Pa 3.00-3.25, 1 Te 3.18
Te  0.1641  0.8359  0.5000  6 Pa 3.10-3.18
Te  0.2433  0.7567  0.0000  4 Pa 3.22-3.28
Te  0.3838  0.3838  0.3178  5 Pa 3.08-3.25, 1 Sb 3.18, 1 Te 3.26
Te  0.6162  0.6162  0.6822  5 Pa 3.08-3.25, 1 Sb 3.18, 1 Te 3.26
Te  0.7567  0.2433  0.0000  4 Pa 3.22-3.28
Te  0.8359  0.1641  0.5000  6 Pa 3.10-3.18

***

No. 3
An optimized crystal structure of Pa3Sb3Te, computed with PBE.

Results
Magnetization   6.52 μB/cell
E   -6.5783 eV per atom

a = 7.5134 Å, b = 7.5134 Å, c = 8.0717 Å
α = 92.90°, β = 92.90°, γ = 108.22°
Closest atoms and distances in Å follow each position.
Sites, in units of the cell vectors:
Pa  0.0501  0.0501  0.2063  5 Sb 3.08-3.20, 2 Te 3.08-3.10, 1 Pa 3.37
Pa  0.1694  0.4955  0.6728  1 Te 3.00, 5 Sb 3.07-3.31
Pa  0.4955  0.1694  0.6728  1 Te 3.00, 5 Sb 3.07-3.31
Pa  0.5045  0.8306  0.3272  1 Te 3.00, 5 Sb 3.07-3.31
Pa  0.8306  0.5045  0.3272  1 Te 3.00, 5 Sb 3.07-3.31
Pa  0.9499  0.9499  0.7937  5 Sb 3.08-3.20, 2 Te 3.08-3.10, 1 Pa 3.37
Sb  0.1545  0.8455  0.5000  6 Pa 3.07-3.13
Sb  0.2236  0.7764  0.0000  4 Pa 3.20-3.22
Sb  0.3842  0.3842  0.3544  1 Sb 2.98, 5 Pa 3.08-3.31
Sb  0.6158  0.6158  0.6456  1 Sb 2.98, 5 Pa 3.08-3.31
Sb  0.7764  0.2236  0.0000  4 Pa 3.20-3.22
Sb  0.8455  0.1545  0.5000  6 Pa 3.07-3.13
Te  0.2846  0.2846  0.9415  4 Pa 3.00-3.10
Te  0.7154  0.7154  0.0585  4 Pa 3.00-3.10